A.
First-principles (PBE-GGA) data for CsHo2Se3 after structural relaxation, as listed in Alexandria via LeMat-Bulk.

The density of states at the Fermi level is 4.4 states/eV/cell.

The structure belongs to space group P2_1/m (No. 11); the cell edges are 7.760, 4.143 and 11.170 Å and the angles 90.00°, 103.63° and 90.00°. The inequivalent atoms are Cs at (0.028, 0.250, 0.343), Ho at (0.262, 0.250, 0.994), Ho at (0.499, 0.750, 0.315), Se at (0.151, 0.750, 0.134), Se at (0.331, 0.750, 0.526) and Se at (0.392, 0.750, 0.848).

B.
First-principles (PBE-GGA) data for CsHo2Se3 after structural relaxation, as listed in Alexandria via LeMat-Bulk.

The density of states at the Fermi level is 13.5 states/eV/cell.

The structure belongs to space group Cmcm (No. 63); the cell edges are 4.487, 16.604 and 11.225 Å and the angles 90.00°, 90.00° and 90.00°. The inequivalent atoms are Cs at (0.000, 0.236, 0.250), Ho at (0.000, 0.035, 0.750), Ho at (0.000, 0.500, 0.000), Se at (0.000, 0.115, 0.541) and Se at (0.000, 0.443, 0.750).

Short version: A is the most stable of them.

A.
First-principles (PBE-GGA) data for Cs2I after structural relaxation, as listed in Alexandria via LeMat-Bulk.

The density of states at the Fermi level is 2.6 states/eV/cell.

The structure belongs to space group I4/mmm (No. 139); the cell edges are 4.795, 4.795 and 18.429 Å and the angles 90.00°, 90.00° and 90.00°. The inequivalent atoms are Cs at (0.000, 0.000, 0.123) and I at (0.000, 0.000, 0.500).

B.
First-principles (PBE-GGA) data for Cs2I after structural relaxation, as listed in Alexandria via LeMat-Bulk.

The density of states at the Fermi level is 2.5 states/eV/cell.

The structure belongs to space group C2 (No. 5); the cell edges are 9.412, 5.440 and 9.924 Å and the angles 90.00°, 108.26° and 90.00°. The inequivalent atoms are Cs at (0.249, 0.000, 0.250) and I at (0.000, 0.501, 0.000).

Short version: B is the most stable of them.

A.
First-principles (PBE-GGA) data for Cs3I after structural relaxation, as listed in Alexandria via LeMat-Bulk.

The density of states at the Fermi level is 10.6 states/eV/cell.

The structure belongs to space group Pnma (No. 62); the cell edges are 10.647, 14.589 and 9.668 Å and the angles 90.00°, 90.00° and 90.00°. The inequivalent atoms are Cs at (0.035, 0.250, 0.159), Cs at (0.185, 0.071, 0.672) and I at (0.000, 0.000, 0.000).

B.
First-principles (PBE-GGA) data for Cs3I after structural relaxation, as listed in Alexandria via LeMat-Bulk.

The density of states at the Fermi level is 2.8 states/eV/cell.

The structure belongs to space group Pmm2 (No. 25); the cell edges are 5.053, 5.222 and 13.735 Å and the angles 90.00°, 90.00° and 90.00°. The inequivalent atoms are Cs at (0.000, 0.000, 0.000), Cs at (0.000, 0.500, 0.330), Cs at (0.500, 0.500, 0.690) and I at (0.500, 0.000, 0.225).

Short version: B is the most stable of them.

A.
First-principles (PBE-GGA) data for Cs2InI3 after structural relaxation, as listed in Alexandria via LeMat-Bulk.

The density of states at the Fermi level is 0.0 states/eV/cell.

The structure belongs to space group R-3c (No. 167, hexagonal axes); the cell edges are 9.0350, 9.0350 and 27.5381 Å and the angles 90.00°, 90.00° and 120.00°. The inequivalent atoms are Cs at (0.0000, 0.0000, 0.1716), In at (0.0000, 0.0000, 0.0000) and I at (0.0000, 0.3616, 0.2500).

B.
First-principles (PBE-GGA) data for Cs2InI3 after structural relaxation, as listed in Alexandria via LeMat-Bulk.

The density of states at the Fermi level is 0.0 states/eV/cell.

The structure belongs to space group Cmcm (No. 63); the cell edges are 15.647, 9.431 and 9.500 Å and the angles 90.00°, 90.00° and 90.00°. The inequivalent atoms are Cs at (0.170, 0.172, 0.250), In at (0.000, 0.450, 0.750), I at (0.000, 0.121, 0.750) and I at (0.167, 0.500, 0.000).

Short version: A is the most stable of them.

A.
First-principles (PBE-GGA) data for CsIn2I3 after structural relaxation, as listed in Alexandria via LeMat-Bulk.

The density of states at the Fermi level is 0.0 states/eV/cell.

The structure belongs to space group C2/c (No. 15); the cell edges are 16.349, 7.373 and 10.259 Å and the angles 90.00°, 108.27° and 90.00°. The inequivalent atoms are Cs at (0.000, 0.000, 0.250), In at (0.165, 0.495, 0.083), I at (0.000, 0.500, 0.250) and I at (0.185, 0.013, 0.093).

B.
First-principles (PBE-GGA) data for CsIn2I3 after structural relaxation, as listed in Alexandria via LeMat-Bulk.

The structure belongs to space group Cmcm (No. 63); the cell edges are 12.640, 15.299 and 6.736 Å and the angles 90.00°, 90.00° and 90.00°. The inequivalent atoms are Cs at (0.000, 0.146, 0.250), In at (0.136, 0.500, 0.000), I at (0.000, 0.324, 0.750) and I at (0.179, 0.091, 0.750).

Short version: A is the most stable of them.

A.
First-principles (PBE-GGA) data for Cs2InI after structural relaxation, as listed in Alexandria via LeMat-Bulk.

The density of states at the Fermi level is 33.3 states/eV/cell.

The structure belongs to space group Fm-3m (No. 225); the cell edges are 9.530, 9.530 and 9.530 Å and the angles 90.00°, 90.00° and 90.00°. The inequivalent atoms are Cs at (0.250, 0.250, 0.250), In at (0.000, 0.000, 0.000) and I at (0.000, 0.000, 0.500).

B.
First-principles (PBE-GGA) data for Cs2InI after structural relaxation, as listed in Alexandria via LeMat-Bulk.

The density of states at the Fermi level is 8.8 states/eV/cell.

The structure belongs to space group R-3m (No. 166, hexagonal axes); the cell edges are 4.7894, 4.7894 and 38.5751 Å and the angles 90.00°, 90.00° and 120.00°. The inequivalent atoms are Cs at (0.0000, 0.0000, 0.0995), In at (0.0000, 0.0000, 0.0000) and I at (0.0000, 0.0000, 0.5000).

Short version: A is the most stable of them.

A.
First-principles (PBE-GGA) data for Cs2In2I5 after structural relaxation, as listed in Alexandria via LeMat-Bulk.

The density of states at the Fermi level is 5.7 states/eV/cell.

The structure belongs to space group C2/m (No. 12); the cell edges are 17.595, 6.542 and 9.140 Å and the angles 90.00°, 114.75° and 90.00°. The inequivalent atoms are Cs at (0.108, 0.000, 0.299), In at (0.147, 0.500, 0.879), I at (0.000, 0.500, 0.000), I at (0.150, 0.500, 0.547) and I at (0.152, 0.000, 0.894).

B.
First-principles (PBE-GGA) data for Cs2In2I5 after structural relaxation, as listed in Alexandria via LeMat-Bulk.

The density of states at the Fermi level is 1.2 states/eV/cell.

The structure belongs to space group P4/mmm (No. 123); the cell edges are 6.337, 6.337 and 11.505 Å and the angles 90.00°, 90.00° and 90.00°. The inequivalent atoms are Cs at (0.000, 0.000, 0.000), Cs at (0.000, 0.000, 0.500), In at (0.500, 0.500, 0.234), I at (0.000, 0.500, 0.214) and I at (0.500, 0.500, 0.500).

Short version: B is the most stable of them.

A.
First-principles (PBE-GGA) data for CsIn2I8 after structural relaxation, as listed in Alexandria via LeMat-Bulk.

The density of states at the Fermi level is 16.6 states/eV/cell.

The structure belongs to space group C2/m (No. 12); the cell edges are 18.134, 10.038 and 8.259 Å and the angles 90.00°, 108.81° and 90.00°. The inequivalent atoms are Cs at (0.000, 0.000, 0.000), In at (0.177, 0.000, 0.677), I at (0.089, 0.221, 0.708), I at (0.192, 0.500, 0.037) and I at (0.206, 0.000, 0.372).

B.
First-principles (PBE-GGA) data for CsIn2I8 after structural relaxation, as listed in Alexandria via LeMat-Bulk.

The density of states at the Fermi level is 25.4 states/eV/cell.

The structure belongs to space group C2/m (No. 12); the cell edges are 15.792, 8.637 and 9.752 Å and the angles 90.00°, 108.15° and 90.00°. The inequivalent atoms are Cs at (0.000, 0.000, 0.000), In at (0.221, 0.000, 0.713), I at (0.097, 0.500, 0.188), I at (0.148, 0.000, 0.419) and I at (0.155, 0.255, 0.824).

Short version: A is the most stable of them.

A.
First-principles (PBE-GGA) data for Cs3InI6 after structural relaxation, as listed in Alexandria via LeMat-Bulk.

The structure belongs to space group Cmc2_1 (No. 36); the cell edges are 15.469, 18.376 and 9.197 Å and the angles 90.00°, 90.00° and 90.00°. The inequivalent atoms are Cs at (0.000, 0.072, 0.000), Cs at (0.197, 0.403, 0.904), In at (0.000, 0.313, 0.317), I at (0.000, 0.311, 0.616), I at (0.000, 0.454, 0.209), I at (0.142, 0.243, 0.200) and I at (0.169, 0.037, 0.711).

B.
First-principles (PBE-GGA) data for Cs3InI6 after structural relaxation, as listed in Alexandria via LeMat-Bulk.

The density of states at the Fermi level is 0.0 states/eV/cell.

The structure belongs to space group Fm-3m (No. 225); the cell edges are 13.103, 13.103 and 13.103 Å and the angles 90.00°, 90.00° and 90.00°. The inequivalent atoms are Cs at (0.000, 0.000, 0.000), Cs at (0.250, 0.250, 0.250), In at (0.000, 0.000, 0.500) and I at (0.000, 0.000, 0.275).

Short version: A is the most stable of them.

A.
First-principles (PBE-GGA) data for Cs2In2I7 after structural relaxation, as listed in Alexandria via LeMat-Bulk.

The density of states at the Fermi level is 10.6 states/eV/cell.

The structure belongs to space group C2/m (No. 12); the cell edges are 12.592, 15.339 and 7.386 Å and the angles 90.00°, 101.44° and 90.00°. The inequivalent atoms are Cs at (0.000, 0.214, 0.000), In at (0.223, 0.500, 0.429), I at (0.000, 0.500, 0.500), I at (0.116, 0.000, 0.246) and I at (0.249, 0.153, 0.772).

B.
First-principles (PBE-GGA) data for Cs2In2I7 after structural relaxation, as listed in Alexandria via LeMat-Bulk.

The density of states at the Fermi level is 10.5 states/eV/cell.

The structure belongs to space group P2_1/c (No. 14); the cell edges are 7.222, 18.719 and 9.969 Å and the angles 90.00°, 102.56° and 90.00°. The inequivalent atoms are Cs at (0.143, 0.149, 0.449), In at (0.307, 0.610, 0.629), I at (0.035, 0.154, 0.045), I at (0.233, 0.554, 0.879), I at (0.478, 0.234, 0.773) and I at (0.500, 0.000, 0.000).

Short version: B is the most stable of them.

A.
First-principles (PBE-GGA) data for Cs3InI4 after structural relaxation, as listed in Alexandria via LeMat-Bulk.

The density of states at the Fermi level is 0.0 states/eV/cell.

The structure belongs to space group Pmn2_1 (No. 31); the cell edges are 13.476, 10.681 and 7.709 Å and the angles 90.00°, 90.00° and 90.00°. The inequivalent atoms are Cs at (0.000, 0.161, 0.000), Cs at (0.245, 0.324, 0.499), In at (0.000, 0.818, 0.487), I at (0.000, 0.138, 0.500), I at (0.000, 0.813, 0.066) and I at (0.241, 0.684, 0.499).

B.
First-principles (PBE-GGA) data for Cs3InI4 after structural relaxation, as listed in Alexandria via LeMat-Bulk.

The density of states at the Fermi level is 0.0 states/eV/cell.

The structure belongs to space group Cmmm (No. 65); the cell edges are 10.811, 15.282 and 5.413 Å and the angles 90.00°, 90.00° and 90.00°. The inequivalent atoms are Cs at (0.000, 0.000, 0.000), Cs at (0.250, 0.250, 0.500), In at (0.000, 0.500, 0.000), I at (0.000, 0.261, 0.000) and I at (0.231, 0.500, 0.500).

Short version: B is the most stable of them.